No. 1
The following is a GGA-PBE calculation of crystalline CsSc2SnCl8 at its relaxed geometry, from Alexandria.

It has space group R-3 (No. 148, hexagonal axes), with a = 6.9040 Å, b = 6.9040 Å, c = 30.6807 Å, α = 90.00°, β = 90.00° and γ = 120.00°. The inequivalent atoms are Cs at (0.0000, 0.0000, 0.0000), Sc at (0.0000, 0.0000, 0.2505), Sn at (0.0000, 0.0000, 0.5000), Cl at (0.0000, 0.0000, 0.3271) and Cl at (0.0016, 0.3441, 0.5608).

Its magnetic moment is 1.08 μB/f.u. The crystal system is trigonal. The value obtained for the formation energy (no corrections) is -1.683 eV/atom.

No. 2
The following is a GGA-PBE calculation of crystalline CsScSn2Cl at its relaxed geometry, from Alexandria.

It has space group P4/mmm (No. 123), with a = 6.1395 Å, b = 6.1395 Å, c = 5.7660 Å, α = 90.00°, β = 90.00° and γ = 90.00°. The inequivalent atoms are Cs at (0.0000, 0.0000, 0.0000), Sc at (0.5000, 0.5000, 0.5000), Sn at (0.0000, 0.5000, 0.0000) and Cl at (0.0000, 0.0000, 0.5000).

Its magnetic moment is 0.01 μB/f.u. The crystal system is tetragonal. The value obtained for the formation energy (no corrections) is 0.880 eV/atom.

No. 3
The following is a GGA-PBE calculation of crystalline CsScSnCl6 at its relaxed geometry, from Alexandria.

It has space group P312 (No. 149), with a = 7.1232 Å, b = 7.1232 Å, c = 7.5538 Å, α = 90.00°, β = 90.00° and γ = 120.00°. The inequivalent atoms are Cs at (0.0000, 0.0000, 0.0000), Sc at (0.6667, 0.3333, 0.5000), Sn at (0.3333, 0.6667, 0.5000) and Cl at (0.3923, 0.0354, 0.6948).

Its magnetic moment is 0.00 μB/f.u. The crystal system is trigonal. The value obtained for the formation energy (no corrections) is -1.762 eV/atom.

No. 4
The following is a GGA-PBE calculation of crystalline CsScSn2Cl8 at its relaxed geometry, from Alexandria.

It has space group P-1 (No. 2), with a = 7.0203 Å, b = 7.0742 Å, c = 9.2056 Å, α = 89.34°, β = 89.71° and γ = 61.39°. The inequivalent atoms are Cs at (0.0000, 0.0000, 0.0000), Sc at (0.0000, 0.0000, 0.5000), Sn at (0.3373, 0.3308, 0.6444), Cl at (0.0592, 0.6881, 0.3436), Cl at (0.2583, 0.0620, 0.3444), Cl at (0.3065, 0.7509, 0.6609) and Cl at (0.3393, 0.3205, 0.9129).

Its magnetic moment is 0.00 μB/f.u. The crystal system is triclinic. The value obtained for the formation energy (no corrections) is -1.549 eV/atom.

No. 5
The following is a GGA-PBE calculation of crystalline Cs2ScTaCl6 at its relaxed geometry, from Alexandria.

It has space group Fm-3m (No. 225), with a = 10.2995 Å, b = 10.2995 Å, c = 10.2995 Å, α = 90.00°, β = 90.00° and γ = 90.00°. The inequivalent atoms are Cs at (0.2500, 0.2500, 0.2500), Sc at (0.0000, 0.0000, 0.0000), Ta at (0.0000, 0.0000, 0.5000) and Cl at (0.0000, 0.0000, 0.2518).

Its magnetic moment is 2.00 μB/f.u. The crystal system is cubic. The value obtained for the formation energy (no corrections) is -1.451 eV/atom.

No. 6
The following is a GGA-PBE calculation of crystalline Cs2ScTcCl6 at its relaxed geometry, from Alexandria.

It has space group Fm-3m (No. 225), with a = 10.1243 Å, b = 10.1243 Å, c = 10.1243 Å, α = 90.00°, β = 90.00° and γ = 90.00°. The inequivalent atoms are Cs at (0.2500, 0.2500, 0.2500), Sc at (0.0000, 0.0000, 0.0000), Tc at (0.0000, 0.0000, 0.5000) and Cl at (0.0000, 0.0000, 0.2520).

Its magnetic moment is 0.00 μB/f.u. The crystal system is cubic. The value obtained for the formation energy (no corrections) is -1.424 eV/atom.

No. 7
The following is a GGA-PBE calculation of crystalline CsScTe2Cl at its relaxed geometry, from Alexandria.

It has space group P4/mmm (No. 123), with a = 5.6720 Å, b = 5.6720 Å, c = 5.4027 Å, α = 90.00°, β = 90.00° and γ = 90.00°. The inequivalent atoms are Cs at (0.0000, 0.0000, 0.0000), Sc at (0.5000, 0.5000, 0.5000), Te at (0.0000, 0.5000, 0.5000) and Cl at (0.5000, 0.5000, 0.0000).

Its magnetic moment is 0.00 μB/f.u. The crystal system is tetragonal. The value obtained for the formation energy (no corrections) is -1.226 eV/atom.

No. 8
The following is a GGA-PBE calculation of crystalline Cs2ScTeCl6 at its relaxed geometry, from Alexandria.

It has space group I4/mmm (No. 139), with a = 8.4487 Å, b = 8.4487 Å, c = 10.3272 Å, α = 90.00°, β = 90.00° and γ = 90.00°. The inequivalent atoms are Cs at (0.0000, 0.5000, 0.2500), Sc at (0.0000, 0.0000, 0.0000), Te at (0.0000, 0.0000, 0.5000), Cl at (0.0000, 0.0000, 0.2501) and Cl at (0.2064, 0.2064, 0.0000).

Its magnetic moment is 1.00 μB/f.u. The crystal system is tetragonal. The value obtained for the formation energy (no corrections) is -1.575 eV/atom.

No. 9
The following is a GGA-PBE calculation of crystalline CsSc2TiCl8 at its relaxed geometry, from Alexandria.

It has space group R-3 (No. 148, hexagonal axes), with a = 6.6105 Å, b = 6.6105 Å, c = 29.0364 Å, α = 90.00°, β = 90.00° and γ = 120.00°. The inequivalent atoms are Cs at (0.0000, 0.0000, 0.0000), Sc at (0.0000, 0.0000, 0.2335), Ti at (0.0000, 0.0000, 0.5000), Cl at (0.0000, 0.0000, 0.3150) and Cl at (0.0064, 0.3616, 0.2170).

Its magnetic moment is 3.06 μB/f.u. The crystal system is trigonal. The value obtained for the formation energy (no corrections) is -1.776 eV/atom.

No. 10
The following is a GGA-PBE calculation of crystalline CsScTiCl6 at its relaxed geometry, from Alexandria.

It has space group Imma (No. 74), with a = 9.1475 Å, b = 9.4033 Å, c = 13.2027 Å, α = 90.00°, β = 90.00° and γ = 90.00°. The inequivalent atoms are Cs at (0.0000, 0.2500, 0.0935), Sc at (0.0000, 0.0000, 0.5000), Ti at (0.2500, 0.2500, 0.7500), Cl at (0.0000, 0.2500, 0.4246), Cl at (0.0000, 0.2500, 0.8170) and Cl at (0.2011, 0.0560, 0.6225).

Its magnetic moment is 2.03 μB/f.u. The crystal system is orthorhombic. The value obtained for the formation energy (no corrections) is -1.825 eV/atom.

No. 11
The following is a GGA-PBE calculation of crystalline Cs2ScTlCl6 at its relaxed geometry, from Alexandria.

It has space group Fm-3m (No. 225), with a = 11.1940 Å, b = 11.1940 Å, c = 11.1940 Å, α = 90.00°, β = 90.00° and γ = 90.00°. The inequivalent atoms are Cs at (0.2500, 0.2500, 0.2500), Sc at (0.0000, 0.0000, 0.0000), Tl at (0.0000, 0.0000, 0.5000) and Cl at (0.0000, 0.0000, 0.2237).

Its magnetic moment is 0.00 μB/f.u. The crystal system is cubic. The value obtained for the formation energy (no corrections) is -1.899 eV/atom.

No. 12
The following is a GGA-PBE calculation of crystalline Cs2ScTl2Cl6 at its relaxed geometry, from Alexandria.

It has space group C2/m (No. 12), with a = 8.0264 Å, b = 14.1964 Å, c = 8.4989 Å, α = 90.00°, β = 106.23° and γ = 90.00°. The inequivalent atoms are Cs at (0.0000, 0.1635, 0.0000), Sc at (0.0000, 0.5000, 0.0000), Tl at (0.0000, 0.2562, 0.5000), Cl at (0.0724, 0.3736, 0.8174) and Cl at (0.1964, 0.0000, 0.8197).

Its magnetic moment is 0.08 μB/f.u. The crystal system is monoclinic. The value obtained for the formation energy (no corrections) is -1.587 eV/atom.

Repeat the twelfth record exactly.
The following is a GGA-PBE calculation of crystalline Cs2ScTl2Cl6 at its relaxed geometry, from Alexandria.

It has space group C2/m (No. 12), with a = 8.0264 Å, b = 14.1964 Å, c = 8.4989 Å, α = 90.00°, β = 106.23° and γ = 90.00°. The inequivalent atoms are Cs at (0.0000, 0.1635, 0.0000), Sc at (0.0000, 0.5000, 0.0000), Tl at (0.0000, 0.2562, 0.5000), Cl at (0.0724, 0.3736, 0.8174) and Cl at (0.1964, 0.0000, 0.8197).

Its magnetic moment is 0.08 μB/f.u. The crystal system is monoclinic. The value obtained for the formation energy (no corrections) is -1.587 eV/atom.

Question: Number 9 is which compound?
Answer: CsSc2TiCl8

Question: Which formula does entry 3 have?
Answer: CsScSnCl6

Copy entry 4 word for word.
The following is a GGA-PBE calculation of crystalline CsScSn2Cl8 at its relaxed geometry, from Alexandria.

It has space group P-1 (No. 2), with a = 7.0203 Å, b = 7.0742 Å, c = 9.2056 Å, α = 89.34°, β = 89.71° and γ = 61.39°. The inequivalent atoms are Cs at (0.0000, 0.0000, 0.0000), Sc at (0.0000, 0.0000, 0.5000), Sn at (0.3373, 0.3308, 0.6444), Cl at (0.0592, 0.6881, 0.3436), Cl at (0.2583, 0.0620, 0.3444), Cl at (0.3065, 0.7509, 0.6609) and Cl at (0.3393, 0.3205, 0.9129).

Its magnetic moment is 0.00 μB/f.u. The crystal system is triclinic. The value obtained for the formation energy (no corrections) is -1.549 eV/atom.